DFT (GGA-PBE) results for a relaxed PuUPa crystal.

Output
As for the formation energy: 22.1 kJ/mol of atoms.

abc: 5.1291 5.1291 2.8782
angles: 90.00 90.00 120.00
Closest atoms and distances in Å follow each position.
Space group P-6m2 (No. 187)
Inequivalent atoms, fractional coordinates:
Pu 0.0000 0.0000 0.0000  2 Pu 2.88
U 0.6667 0.3333 0.5000  2 U 2.88, 3 Pa 2.96
Pa 0.3333 0.6667 0.5000  2 Pa 2.88, 3 U 2.96

DFT (GGA-PBE) results for a relaxed ZrAsRhSe2 crystal.

Output
For the uncorrected formation energy, the calculation gives 424 meV per atom.

abc: 5.1317 5.1317 5.1932
angles: 90.00 90.00 90.00
Closest atoms and distances in Å follow each position.
Space group P4/mmm (No. 123)
Inequivalent atoms, fractional coordinates:
Zr 0.0000 0.0000 0.0000  4 Se 2.57, 2 As 2.60
As 0.0000 0.0000 0.5000  2 Zr 2.60
Rh 0.5000 0.5000 0.5000  4 As 3.63, 8 Se 3.65
Se 0.0000 0.5000 0.0000  2 Zr 2.57

DFT (GGA-PBE) results for a relaxed LaCeRe crystal.

Output
As for the formation energy: 15.7 kJ/mol of atoms.

abc: 3.4879 3.4879 11.4741
angles: 90.00 90.00 90.00
Closest atoms and distances in Å follow each position.
Space group I4mm (No. 107)
Inequivalent atoms, fractional coordinates:
La 0.0000 0.0000 0.0000  4 Re 3.14, 5 Ce 3.32-3.52, 4 La 3.49
Ce 0.0000 0.0000 0.3065  4 Re 2.92
Re 0.0000 0.0000 0.6695  4 Ce 2.92, 4 La 3.14

DFT (GGA-PBE) results for a relaxed Co14IrRh crystal.

Output
As for the formation energy: 3.6 kJ/mol of atoms.

abc: 5.0754 5.0754 7.1359
angles: 90.00 90.00 90.00
Closest atoms and distances in Å follow each position.
Space group P4/mmm (No. 123)
Inequivalent atoms, fractional coordinates:
Co 0.0000 0.0000 0.0000  12 Co 2.48-2.54
Co 0.0000 0.5000 0.0000  12 Co 2.48-2.54
Co 0.0000 0.5000 0.5000  2 Ir 2.54, 2 Rh 2.54, 8 Co 2.58
Co 0.2498 0.2498 0.2398  10 Co 2.48-2.58, 1 Ir 2.58, 1 Rh 2.58
Co 0.5000 0.5000 0.0000  12 Co 2.48-2.54
Ir 0.0000 0.0000 0.5000  12 Co 2.54-2.58
Rh 0.5000 0.5000 0.5000  12 Co 2.54-2.58

DFT (GGA-PBE) results for a relaxed NaCaAsBr2 crystal.

Output
For the uncorrected formation energy, the calculation gives -265 meV per atom.

abc: 5.6692 5.6692 5.3401
angles: 90.00 90.00 90.00
Closest atoms and distances in Å follow each position.
Space group P4/mmm (No. 123)
Inequivalent atoms, fractional coordinates:
Na 0.0000 0.0000 0.0000  2 As 2.67
Ca 0.5000 0.5000 0.0000  8 Br 3.89, 4 Na 4.01
As 0.0000 0.0000 0.5000  2 Na 2.67, 4 Br 2.83
Br 0.0000 0.5000 0.5000  2 As 2.83

DFT (GGA-PBE) results for a relaxed KTa2Ag crystal.

Output
As for the formation energy: 164.3 kJ/mol of atoms.

abc: 6.8336 6.8336 6.8336
angles: 90.00 90.00 90.00
Closest atoms and distances in Å follow each position.
Space group Fm-3m (No. 225)
Inequivalent atoms, fractional coordinates:
K 0.0000 0.0000 0.0000  8 Ta 2.96
Ta 0.2500 0.2500 0.2500  4 Ag 2.96, 4 K 2.96
Ag 0.0000 0.0000 0.5000  8 Ta 2.96

DFT (GGA-PBE) results for a relaxed Fe4AsW crystal.

Output
As for the formation energy: 24.7 kJ/mol of atoms.

abc: 6.7492 6.7492 6.7492
angles: 90.00 90.00 90.00
Closest atoms and distances in Å follow each position.
Space group F-43m (No. 216)
Inequivalent atoms, fractional coordinates:
Fe 0.1243 0.1243 0.1243  6 Fe 2.37-2.40
As 0.0000 0.0000 0.5000  12 Fe 2.80, 4 W 2.92
W 0.2500 0.2500 0.7500  12 Fe 2.80, 4 As 2.92

DFT (GGA-PBE) results for a relaxed RbTl2PbCl5 crystal.

Output
For the uncorrected formation energy, the calculation gives -1234 meV per atom.

abc: 5.5579 7.7446 15.6304
angles: 90.00 90.00 90.00
Closest atoms and distances in Å follow each position.
Space group Immm (No. 71)
Inequivalent atoms, fractional coordinates:
Rb 0.0000 0.0000 0.0000  10 Cl 3.87-3.96
Tl 0.0000 0.5000 0.2130  3 Cl 3.05-3.33
Pb 0.0000 0.0000 0.5000  6 Cl 2.78-2.89
Cl 0.0000 0.2557 0.3657  1 Pb 2.89, 1 Tl 3.05
Cl 0.0000 0.5000 0.0000  2 Pb 2.78